Crystalline Ho12Ni2Hg5 at its relaxed geometry, computed with PBE.

Values from the calculation:
Space group: No. 12
Calculated formation energy, meV/atom: -168
Total magnetic moment, μB/cell: 0.00
Mass density, g/cm3: 9.253

Cell lengths 8.982, 8.982, 9.457 Å; angles 103.52, 103.52, 48.96 degrees
Positions (direct):
Ho (0.004, 0.004, 0.254)
Ho (0.078, 0.596, 0.904)
Ho (0.105, 0.600, 0.426)
Ho (0.400, 0.895, 0.574)
Ho (0.404, 0.922, 0.096)
Ho (0.482, 0.482, 0.172)
Ho (0.518, 0.518, 0.828)
Ho (0.596, 0.078, 0.904)
Ho (0.600, 0.105, 0.426)
Ho (0.895, 0.400, 0.574)
Ho (0.922, 0.404, 0.096)
Ho (0.996, 0.996, 0.746)
Ni (0.190, 0.810, 0.000)
Ni (0.810, 0.190, 0.000)
Hg (0.188, 0.188, 0.842)
Hg (0.200, 0.200, 0.364)
Hg (0.500, 0.500, 0.500)
Hg (0.800, 0.800, 0.636)
Hg (0.812, 0.812, 0.158)

=====

Crystalline Rb3Re2F8 at its relaxed geometry, computed with PBE.

Values from the calculation:
Raw formation energy, kJ/mol of formula units: -2430
Space group: No. 166
Total magnetic moment, μB/cell: 0.98
Mass density, g/cm3: 4.721

Cell lengths 8.071, 8.071, 8.071 Å; angles 48.96, 48.96, 48.96 degrees
Positions (direct):
Rb (0.000, 0.000, 0.000)
Rb (0.221, 0.221, 0.221)
Rb (0.779, 0.779, 0.779)
Re (0.448, 0.448, 0.448)
Re (0.552, 0.552, 0.552)
F (0.221, 0.739, 0.739)
F (0.261, 0.261, 0.779)
F (0.261, 0.779, 0.261)
F (0.344, 0.344, 0.344)
F (0.656, 0.656, 0.656)
F (0.739, 0.221, 0.739)
F (0.739, 0.739, 0.221)
F (0.779, 0.261, 0.261)

=====

Crystalline LaSc5Sb6 at its relaxed geometry, computed with PBE.

Values from the calculation:
Raw formation energy, kJ/mol of formula units: -1119
Space group: No. 12
Total magnetic moment, μB/cell: 0.00
Mass density, g/cm3: 5.592

Cell lengths 7.359, 7.359, 7.367 Å; angles 99.70, 99.70, 120.10 degrees
Positions (direct):
La (0.000, 0.000, 0.000)
Sc (0.159, 0.841, 0.500)
Sc (0.331, 0.669, 0.000)
Sc (0.500, 0.500, 0.500)
Sc (0.669, 0.331, 0.000)
Sc (0.841, 0.159, 0.500)
Sb (0.088, 0.438, 0.262)
Sb (0.266, 0.266, 0.745)
Sb (0.438, 0.088, 0.262)
Sb (0.562, 0.912, 0.738)
Sb (0.734, 0.734, 0.255)
Sb (0.912, 0.562, 0.738)

=====

Crystalline Na2TcAgO4 at its relaxed geometry, computed with PBE.

Values from the calculation:
Raw formation energy, kJ/mol of formula units: -824
Space group: No. 121
Total magnetic moment, μB/cell: 0.00
Mass density, g/cm3: 4.472

Cell lengths 6.190, 6.190, 6.123 Å; angles 90.00, 90.00, 90.00 degrees
Positions (direct):
Na (0.000, 0.500, 0.000)
Na (0.000, 0.500, 0.500)
Na (0.500, 0.000, 0.000)
Na (0.500, 0.000, 0.500)
Tc (0.000, 0.000, 0.000)
Tc (0.500, 0.500, 0.500)
Ag (0.000, 0.000, 0.500)
Ag (0.500, 0.500, 0.000)
O (0.194, 0.194, 0.885)
O (0.194, 0.806, 0.115)
O (0.306, 0.306, 0.385)
O (0.306, 0.694, 0.615)
O (0.694, 0.306, 0.615)
O (0.694, 0.694, 0.385)
O (0.806, 0.194, 0.115)
O (0.806, 0.806, 0.885)

=====

Crystalline ZnGeTe at its relaxed geometry, computed with PBE.

Values from the calculation:
Raw formation energy, kJ/mol of formula units: 33
Space group: No. 187
E above lowest polymorph, kJ/mol of atoms: 8.3
Total magnetic moment, μB/cell: 0.00
Mass density, g/cm3: 6.055

Cell lengths 4.088, 4.088, 10.067 Å; angles 90.00, 90.00, 120.00 degrees
Positions (direct):
Zn (0.000, 0.000, 0.133)
Zn (0.000, 0.000, 0.867)
Ge (0.000, 0.000, 0.500)
Ge (0.333, 0.667, 0.000)
Te (0.333, 0.667, 0.309)
Te (0.333, 0.667, 0.691)

=====

Crystalline SrMnOs at its relaxed geometry, computed with PBE.

Values from the calculation:
Space group: No. 156
E above lowest polymorph, kJ/mol of atoms: 52.0
Calculated formation energy, meV/atom: 991
Total magnetic moment, μB/cell: 3.26
Mass density, g/cm3: 9.144

Cell lengths 3.104, 3.104, 7.243 Å; angles 90.00, 90.00, 120.00 degrees
Positions (direct):
Sr (0.000, 0.000, 0.000)
Mn (0.333, 0.667, 0.401)
Os (0.667, 0.333, 0.645)

=====

Crystalline Pm2TmAg5 at its relaxed geometry, computed with PBE.

Values from the calculation:
Space group: No. 139
Calculated formation energy, meV/atom: -212
Total magnetic moment, μB/cell: 0.00
Mass density, g/cm3: 8.904

Cell lengths 5.106, 5.106, 14.281 Å; angles 90.00, 90.00, 90.00 degrees
Positions (direct):
Pm (0.000, 0.000, 0.232)
Pm (0.000, 0.000, 0.768)
Pm (0.500, 0.500, 0.268)
Pm (0.500, 0.500, 0.732)
Tm (0.000, 0.000, 0.500)
Tm (0.500, 0.500, 0.000)
Ag (0.000, 0.000, 0.000)
Ag (0.000, 0.500, 0.112)
Ag (0.000, 0.500, 0.388)
Ag (0.000, 0.500, 0.612)
Ag (0.000, 0.500, 0.888)
Ag (0.500, 0.000, 0.112)
Ag (0.500, 0.000, 0.388)
Ag (0.500, 0.000, 0.612)
Ag (0.500, 0.000, 0.888)
Ag (0.500, 0.500, 0.500)

=====

Crystalline CaIrBr at its relaxed geometry, computed with PBE.

Values from the calculation:
Raw formation energy, kJ/mol of formula units: -3
Space group: No. 107
E above lowest polymorph, kJ/mol of atoms: 102.4
Total magnetic moment, μB/cell: 1.20
Mass density, g/cm3: 7.971

Cell lengths 3.263, 3.263, 12.215 Å; angles 90.00, 90.00, 90.00 degrees
Positions (direct):
Ca (0.000, 0.000, 0.000)
Ca (0.500, 0.500, 0.500)
Ir (0.000, 0.000, 0.657)
Ir (0.500, 0.500, 0.157)
Br (0.000, 0.000, 0.340)
Br (0.500, 0.500, 0.840)

=====

Crystalline InBiOs2 at its relaxed geometry, computed with PBE.

Values from the calculation:
Space group: No. 122
E above lowest polymorph, kJ/mol of atoms: 51.7
Calculated formation energy, meV/atom: 1342
Total magnetic moment, μB/cell: 0.00
Mass density, g/cm3: 14.190

Cell lengths 7.731, 7.731, 5.515 Å; angles 90.00, 90.00, 90.00 degrees
Positions (direct):
In (0.000, 0.000, 0.000)
In (0.000, 0.500, 0.250)
In (0.500, 0.000, 0.750)
In (0.500, 0.500, 0.500)
Bi (0.000, 0.000, 0.500)
Bi (0.000, 0.500, 0.750)
Bi (0.500, 0.000, 0.250)
Bi (0.500, 0.500, 0.000)
Os (0.248, 0.250, 0.125)
Os (0.250, 0.748, 0.375)
Os (0.250, 0.752, 0.875)
Os (0.252, 0.250, 0.625)
Os (0.748, 0.750, 0.625)
Os (0.750, 0.248, 0.875)
Os (0.750, 0.252, 0.375)
Os (0.752, 0.750, 0.125)

=====

Crystalline Li2CePd2 at its relaxed geometry, computed with PBE.

Values from the calculation:
Space group: No. 139
Calculated formation energy, meV/atom: -482
Total magnetic moment, μB/cell: 1.69
Mass density, g/cm3: 6.409

Cell lengths 3.802, 3.802, 13.150 Å; angles 90.00, 90.00, 90.00 degrees
Positions (direct):
Li (0.000, 0.500, 0.250)
Li (0.000, 0.500, 0.750)
Li (0.500, 0.000, 0.250)
Li (0.500, 0.000, 0.750)
Ce (0.000, 0.000, 0.000)
Ce (0.500, 0.500, 0.500)
Pd (0.000, 0.000, 0.394)
Pd (0.000, 0.000, 0.606)
Pd (0.500, 0.500, 0.106)
Pd (0.500, 0.500, 0.894)

=====

Crystalline CrBPAuI at its relaxed geometry, computed with PBE.

Values from the calculation:
Raw formation energy, kJ/mol of formula units: 96
Space group: No. 1
E above lowest polymorph, kJ/mol of atoms: 8.3
Total magnetic moment, μB/cell: 3.80
Mass density, g/cm3: 5.106

Cell lengths 3.215, 5.652, 7.955 Å; angles 85.23, 78.64, 73.51 degrees
Positions (direct):
Cr (0.000, 0.000, 0.000)
B (0.541, 0.110, 0.803)
P (0.988, 0.276, 0.741)
Au (0.741, 0.703, 0.811)
I (0.976, 0.763, 0.298)

=====

Crystalline HfRh at its relaxed geometry, computed with PBE.

Values from the calculation:
Space group: No. 71
Calculated formation energy, meV/atom: -908
Total magnetic moment, μB/cell: 0.00
Mass density, g/cm3: 13.091

Cell lengths 3.275, 4.346, 15.048 Å; angles 90.00, 90.00, 90.00 degrees
Positions (direct):
Hf (0.000, 0.000, 0.000)
Hf (0.000, 0.500, 0.176)
Hf (0.000, 0.500, 0.824)
Hf (0.500, 0.000, 0.324)
Hf (0.500, 0.000, 0.676)
Hf (0.500, 0.500, 0.500)
Rh (0.000, 0.000, 0.500)
Rh (0.000, 0.500, 0.356)
Rh (0.000, 0.500, 0.644)
Rh (0.500, 0.000, 0.144)
Rh (0.500, 0.000, 0.856)
Rh (0.500, 0.500, 0.000)

=====

Crystalline LaSi at its relaxed geometry, computed with PBE.

Values from the calculation:
Raw formation energy, kJ/mol of formula units: -143
Space group: No. 63
Total magnetic moment, μB/cell: 0.00
Mass density, g/cm3: 5.417

Cell lengths 4.572, 11.247, 3.983 Å; angles 90.00, 90.00, 90.00 degrees
Positions (direct):
La (0.000, 0.140, 0.250)
La (0.000, 0.860, 0.750)
La (0.500, 0.360, 0.750)
La (0.500, 0.640, 0.250)
Si (0.000, 0.432, 0.250)
Si (0.000, 0.568, 0.750)
Si (0.500, 0.068, 0.750)
Si (0.500, 0.932, 0.250)

=====

Crystalline MnPbS3 at its relaxed geometry, computed with PBE.

Values from the calculation:
Raw formation energy, kJ/mol of formula units: 351
Space group: No. 221
E above lowest polymorph, kJ/mol of atoms: 93.6
Total magnetic moment, μB/cell: 4.93
Mass density, g/cm3: 4.462

Cell lengths 5.109, 5.109, 5.109 Å; angles 90.00, 90.00, 90.00 degrees
Positions (direct):
Mn (0.000, 0.000, 0.000)
Pb (0.500, 0.500, 0.500)
S (0.000, 0.500, 0.500)
S (0.500, 0.000, 0.500)
S (0.500, 0.500, 0.000)

=====

Crystalline Ac7Ni4Ir at its relaxed geometry, computed with PBE.

Values from the calculation:
Space group: No. 8
Calculated formation energy, meV/atom: -278
Total magnetic moment, μB/cell: 0.00
Mass density, g/cm3: 8.992

Cell lengths 7.334, 7.334, 13.006 Å; angles 104.49, 104.49, 33.46 degrees
Positions (direct):
Ac (0.000, 0.000, 0.000)
Ac (0.220, 0.220, 0.853)
Ac (0.300, 0.300, 0.424)
Ac (0.525, 0.525, 0.277)
Ac (0.607, 0.607, 0.589)
Ac (0.762, 0.762, 0.137)
Ac (0.913, 0.913, 0.690)
Ni (0.260, 0.260, 0.639)
Ni (0.376, 0.376, 0.060)
Ni (0.563, 0.563, 0.817)
Ni (0.959, 0.959, 0.466)
Ir (0.148, 0.148, 0.212)

=====

Crystalline Li2PuAg2O6 at its relaxed geometry, computed with PBE.

Values from the calculation:
Raw formation energy, kJ/mol of formula units: -1415
Space group: No. 166
Total magnetic moment, μB/cell: 0.02
Mass density, g/cm3: 6.080

Cell lengths 6.183, 6.183, 6.183 Å; angles 57.00, 57.00, 57.00 degrees
Positions (direct):
Li (0.091, 0.091, 0.091)
Li (0.909, 0.909, 0.909)
Pu (0.500, 0.500, 0.500)
Ag (0.293, 0.293, 0.293)
Ag (0.707, 0.707, 0.707)
O (0.269, 0.269, 0.730)
O (0.269, 0.730, 0.269)
O (0.270, 0.731, 0.731)
O (0.730, 0.269, 0.269)
O (0.731, 0.270, 0.731)
O (0.731, 0.731, 0.270)

=====

Crystalline CsLaSe2 at its relaxed geometry, computed with PBE.

Values from the calculation:
Raw formation energy, kJ/mol of formula units: -685
Space group: No. 164
Total magnetic moment, μB/cell: 0.00
Mass density, g/cm3: 4.810

Cell lengths 4.466, 4.466, 8.590 Å; angles 90.00, 90.00, 120.00 degrees
Positions (direct):
Cs (0.000, 0.000, 0.000)
La (0.000, 0.000, 0.500)
Se (0.333, 0.667, 0.690)
Se (0.667, 0.333, 0.310)

=====

Crystalline Na3NdTh3Se8 at its relaxed geometry, computed with PBE.

Values from the calculation:
Raw formation energy, kJ/mol of formula units: -2266
Space group: No. 166
Total magnetic moment, μB/cell: 0.00
Mass density, g/cm3: 5.848

Cell lengths 8.611, 8.611, 8.611 Å; angles 58.66, 58.66, 58.66 degrees
Positions (direct):
Na (0.000, 0.500, 0.500)
Na (0.500, 0.000, 0.500)
Na (0.500, 0.500, 0.000)
Nd (0.500, 0.500, 0.500)
Th (0.000, 0.000, 0.500)
Th (0.000, 0.500, 0.000)
Th (0.500, 0.000, 0.000)
Se (0.241, 0.748, 0.748)
Se (0.248, 0.248, 0.248)
Se (0.252, 0.252, 0.759)
Se (0.252, 0.759, 0.252)
Se (0.748, 0.241, 0.748)
Se (0.748, 0.748, 0.241)
Se (0.752, 0.752, 0.752)
Se (0.759, 0.252, 0.252)

=====

Crystalline Ta2SiCl at its relaxed geometry, computed with PBE.

Values from the calculation:
Raw formation energy, kJ/mol of formula units: -33
Space group: No. 160
E above lowest polymorph, kJ/mol of atoms: 0.6
Total magnetic moment, μB/cell: 0.00
Mass density, g/cm3: 9.027

Cell lengths 2.998, 2.998, 30.156 Å; angles 90.00, 90.00, 120.00 degrees
Positions (direct):
Ta (0.000, 0.000, 0.000)
Ta (0.000, 0.000, 0.250)
Ta (0.333, 0.667, 0.667)
Ta (0.333, 0.667, 0.917)
Ta (0.667, 0.333, 0.333)
Ta (0.667, 0.333, 0.584)
Si (0.000, 0.000, 0.511)
Si (0.333, 0.667, 0.178)
Si (0.667, 0.333, 0.844)
Cl (0.000, 0.000, 0.726)
Cl (0.333, 0.667, 0.393)
Cl (0.667, 0.333, 0.059)

=====

Crystalline Te6IrRh2 at its relaxed geometry, computed with PBE.

Values from the calculation:
Raw formation energy, kJ/mol of formula units: -95
Space group: No. 136
Total magnetic moment, μB/cell: 0.03
Mass density, g/cm3: 8.219

Cell lengths 6.119, 6.119, 12.557 Å; angles 90.00, 90.00, 90.00 degrees
Positions (direct):
Te (0.192, 0.192, 0.000)
Te (0.194, 0.194, 0.334)
Te (0.194, 0.194, 0.666)
Te (0.306, 0.694, 0.166)
Te (0.306, 0.694, 0.834)
Te (0.308, 0.692, 0.500)
Te (0.692, 0.308, 0.500)
Te (0.694, 0.306, 0.166)
Te (0.694, 0.306, 0.834)
Te (0.806, 0.806, 0.334)
Te (0.806, 0.806, 0.666)
Te (0.808, 0.808, 0.000)
Ir (0.000, 0.000, 0.500)
Ir (0.500, 0.500, 0.000)
Rh (0.000, 0.000, 0.168)
Rh (0.000, 0.000, 0.832)
Rh (0.500, 0.500, 0.332)
Rh (0.500, 0.500, 0.668)

=====

Crystalline Na6GeBr8 at its relaxed geometry, computed with PBE.

Values from the calculation:
Raw formation energy, kJ/mol of formula units: -1976
Space group: No. 225
Total magnetic moment, μB/cell: 0.00
Mass density, g/cm3: 3.239

Cell lengths 8.509, 8.509, 8.509 Å; angles 60.00, 60.00, 60.00 degrees
Positions (direct):
Na (0.000, 0.000, 0.500)
Na (0.000, 0.500, 0.000)
Na (0.000, 0.500, 0.500)
Na (0.500, 0.000, 0.000)
Na (0.500, 0.000, 0.500)
Na (0.500, 0.500, 0.000)
Ge (0.000, 0.000, 0.000)
Br (0.237, 0.237, 0.763)
Br (0.237, 0.763, 0.237)
Br (0.237, 0.763, 0.763)
Br (0.250, 0.250, 0.250)
Br (0.750, 0.750, 0.750)
Br (0.763, 0.237, 0.237)
Br (0.763, 0.237, 0.763)
Br (0.763, 0.763, 0.237)

=====

Crystalline YHoScZn at its relaxed geometry, computed with PBE.

Values from the calculation:
Space group: No. 99
E above lowest polymorph, kJ/mol of atoms: 0.0
Calculated formation energy, meV/atom: -144
Total magnetic moment, μB/cell: 0.00
Mass density, g/cm3: 5.922

Cell lengths 3.516, 3.516, 8.260 Å; angles 90.00, 90.00, 90.00 degrees
Positions (direct):
Y (0.000, 0.000, 0.000)
Ho (0.000, 0.000, 0.564)
Sc (0.500, 0.500, 0.285)
Zn (0.500, 0.500, 0.779)

=====

Crystalline Y2CuSi2 at its relaxed geometry, computed with PBE.

Values from the calculation:
Raw formation energy, kJ/mol of formula units: -308
Space group: No. 127
Total magnetic moment, μB/cell: 0.00
Mass density, g/cm3: 4.973

Cell lengths 6.783, 6.783, 4.319 Å; angles 90.00, 90.00, 90.00 degrees
Positions (direct):
Y (0.176, 0.324, 0.000)
Y (0.324, 0.824, 0.000)
Y (0.676, 0.176, 0.000)
Y (0.824, 0.676, 0.000)
Cu (0.000, 0.000, 0.500)
Cu (0.500, 0.500, 0.500)
Si (0.126, 0.626, 0.500)
Si (0.374, 0.126, 0.500)
Si (0.626, 0.874, 0.500)
Si (0.874, 0.374, 0.500)